Material: LiSc2Tc
Method: DFT, PBE-GGA
State: relaxed

Properties
Its energy above the most stable polymorph in this dataset is 362 meV per atom.

Geometry as POSCAR:
```
LiSc2Tc
1.0
2.9413 -0.0074 0.0000
-1.0781 2.7366 0.0000
0.0000 0.0000 9.6306
Li Sc Tc
1 2 1
Cartesian
0.9316 1.3646 6.8971
0.0000 0.0000 9.5778
0.9316 1.3646 2.8107
0.0000 0.0000 4.7908
```

***

Material: Li2ScTc
Method: DFT, PBE-GGA
State: relaxed

Properties
Its energy above the most stable polymorph in this dataset is 112 meV per atom.

Geometry as POSCAR:
```
Li2ScTc
1.0
5.0921 0.0787 0.2588
4.3029 2.7241 0.2588
1.7410 0.5194 5.0808
Li Sc Tc
2 1 1
Cartesian
10.8713 3.2432 5.1619
8.4248 2.5134 4.6578
5.5044 1.6421 2.3152
3.0394 0.9067 1.8609
```

***

Material: LiSc2Tc
Method: DFT, PBE-GGA
State: relaxed

Properties
Its energy above the most stable polymorph in this dataset is 227 meV per atom.

Geometry as POSCAR:
```
LiSc2Tc
1.0
1.8432 0.0000 9.8619
-0.9216 1.5963 9.8619
-0.9216 -1.5963 9.8619
Sc Tc Li
2 1 1
Cartesian
0.0000 0.0000 26.5943
0.0000 0.0000 2.9915
0.0000 0.0000 14.7929
0.0000 0.0000 0.0000
```

***

Here are the calculated V numbers, same order: 19.4; 16.9; 21.8 (Å³ per atom).
Here are the calculated formation energy numbers, same order: 0.223; 0.255; 0.088 (eV per atom).
Here are the calculated size of the total moment numbers, same order: 0.0000; 0.0000; 0.0000 (μB per atom).